# 1
! Nd3Sm2Dy6 (PBE-GGA, optimized geometry); values from VASP
! * SG: No. 12
! * ΔH_f (0 K): 0.19 eV/atom
! * offset from the most stable computed form: 0.000 eV per atom
&SYSTEM
  ibrav = 0, nat = 11, ntyp = 3
/
ATOMIC_SPECIES
Nd 144.24 Nd.upf
Sm 150.36 Sm.upf
Dy 162.50 Dy.upf
ATOMIC_POSITIONS crystal
Nd 0.000 0.000 0.000
Nd 0.336 0.329 0.000
Nd 0.664 0.671 0.000
Sm 0.166 0.667 0.500
Sm 0.834 0.333 0.500
Dy 0.417 0.667 0.748
Dy 0.750 0.000 0.748
Dy 0.084 0.333 0.748
Dy 0.250 0.000 0.252
Dy 0.583 0.333 0.252
Dy 0.916 0.667 0.252
CELL_PARAMETERS angstrom
-5.971 1.574 0.434
-3.882 -1.266 -4.670
-4.372 -9.687 4.870

# 2
! V2Cr3Re (PBE-GGA, optimized geometry); values from VASP
! * SG: No. 12
! * ΔH_f (0 K): 0.18 eV/atom
! * offset from the most stable computed form: 0.000 eV per atom
&SYSTEM
  ibrav = 0, nat = 12, ntyp = 3
/
ATOMIC_SPECIES
V 50.94 V.upf
Cr 52.00 Cr.upf
Re 186.21 Re.upf
ATOMIC_POSITIONS crystal
V 0.504 0.007 0.836
V 0.496 0.993 0.164
V 0.765 0.529 0.177
V 0.235 0.471 0.823
Cr 0.294 0.589 0.528
Cr 0.953 0.905 0.608
Cr 0.612 0.224 0.674
Cr 0.388 0.776 0.326
Cr 0.047 0.095 0.392
Cr 0.706 0.411 0.472
Re 0.871 0.741 0.926
Re 0.129 0.259 0.074
CELL_PARAMETERS angstrom
4.242 0.000 0.000
-2.121 6.650 -0.415
0.000 -3.324 5.734

# 3
! RbZrAs2Se (PBE-GGA, optimized geometry); values from VASP
! * SG: No. 123
! * E_form (uncorrected): -2.45 eV/f.u.
! * offset from the most stable computed form: 0.000 eV per atom
&SYSTEM
  ibrav = 0, nat = 5, ntyp = 4
/
ATOMIC_SPECIES
As 74.92 As.upf
Se 78.96 Se.upf
Rb 85.47 Rb.upf
Zr 91.22 Zr.upf
ATOMIC_POSITIONS crystal
As 0.000 0.500 0.000
As 0.500 0.000 0.000
Se 0.000 0.000 0.500
Rb 0.500 0.500 0.500
Zr 0.000 0.000 0.000
CELL_PARAMETERS angstrom
-2.357 0.457 4.715
3.712 -3.094 2.156
2.981 4.323 1.071

# 4
! SmSnPt4 (PBE-GGA, optimized geometry); values from VASP
! * SG: No. 216
! * ΔH_f (0 K): -0.76 eV/atom
! * offset from the most stable computed form: 0.000 eV per atom
&SYSTEM
  ibrav = 0, nat = 6, ntyp = 3
/
ATOMIC_SPECIES
Sm 150.36 Sm.upf
Pt 195.08 Pt.upf
Sn 118.71 Sn.upf
ATOMIC_POSITIONS crystal
Sm 0.250 0.250 0.250
Pt 0.625 0.625 0.125
Pt 0.625 0.125 0.625
Pt 0.625 0.625 0.625
Pt 0.125 0.625 0.625
Sn 0.000 0.000 0.000
CELL_PARAMETERS angstrom
-0.390 4.530 2.990
-2.729 -0.073 4.707
2.693 0.390 4.712

# 5
! La2TcHg (PBE-GGA, optimized geometry); values from VASP
! * SG: No. 119
! * ΔH_f (0 K): 0.11 eV/atom
&SYSTEM
  ibrav = 0, nat = 4, ntyp = 3
/
ATOMIC_SPECIES
Hg 200.59 Hg.upf
La 138.91 La.upf
Tc 98.00 Tc.upf
ATOMIC_POSITIONS crystal
Hg 0.750 0.250 0.500
La 0.000 0.000 0.000
La 0.250 0.750 0.500
Tc 0.500 0.500 0.000
CELL_PARAMETERS angstrom
-4.087 -1.373 -3.687
-2.028 -5.169 1.164
0.837 4.586 3.233

# 6
! LaY6Ho2Tm3 (PBE-GGA, optimized geometry); values from VASP
! * SG: No. 12
! * ΔH_f (0 K): 0.03 eV/atom
&SYSTEM
  ibrav = 0, nat = 12, ntyp = 4
/
ATOMIC_SPECIES
La 138.91 La.upf
Y 88.91 Y.upf
Ho 164.93 Ho.upf
Tm 168.93 Tm.upf
ATOMIC_POSITIONS crystal
La 0.000 0.000 0.000
Y 0.915 0.580 0.747
Y 0.750 0.750 0.254
Y 0.085 0.420 0.253
Y 0.580 0.915 0.747
Y 0.250 0.250 0.746
Y 0.420 0.085 0.253
Ho 0.333 0.667 0.000
Ho 0.667 0.333 0.000
Tm 0.167 0.833 0.500
Tm 0.833 0.167 0.500
Tm 0.500 0.500 0.500
CELL_PARAMETERS angstrom
6.162 0.001 0.014
-3.079 5.338 0.014
-1.051 -1.819 11.612

# 7
! BeAgSb (PBE-GGA, optimized geometry); values from VASP
! * SG: No. 194
! * E_form (uncorrected): 0.90 eV/f.u.
&SYSTEM
  ibrav = 0, nat = 6, ntyp = 3
/
ATOMIC_SPECIES
Sb 121.76 Sb.upf
Ag 107.87 Ag.upf
Be 9.01 Be.upf
ATOMIC_POSITIONS crystal
Sb 0.333 0.667 0.750
Sb 0.667 0.333 0.250
Ag 0.000 0.000 0.000
Ag 0.000 0.000 0.500
Be 0.333 0.667 0.250
Be 0.667 0.333 0.750
CELL_PARAMETERS angstrom
0.040 3.181 2.648
-3.604 -1.591 -1.270
0.096 -5.199 6.242

# 8
! Sm3SnAsCl (PBE-GGA, optimized geometry); values from VASP
! * SG: No. 11
! * E_form (uncorrected): -7.55 eV/f.u.
&SYSTEM
  ibrav = 0, nat = 12, ntyp = 4
/
ATOMIC_SPECIES
Sm 150.36 Sm.upf
Sn 118.71 Sn.upf
As 74.92 As.upf
Cl 35.45 Cl.upf
ATOMIC_POSITIONS crystal
Sm 0.250 0.723 0.499
Sm 0.750 0.046 0.151
Sm 0.750 0.546 0.159
Sm 0.750 0.277 0.501
Sm 0.250 0.454 0.841
Sm 0.250 0.954 0.849
Sn 0.750 0.655 0.693
Sn 0.250 0.345 0.307
As 0.250 0.766 0.060
As 0.750 0.234 0.940
Cl 0.250 0.123 0.630
Cl 0.750 0.877 0.370
CELL_PARAMETERS angstrom
-1.013 -4.041 0.664
4.557 -0.187 5.814
-9.605 3.175 4.672

no.,N(E_F) (states/eV/f.u.)
1,17.7
2,5.2
3,4.9
4,4.1
5,5.6
6,17.9
7,0.0
8,3.1